(1)
The following is a DFT calculation (PBE) of an optimized crystal structure of In2Si2Ru.

Summary:
total DFT energy (no corrections): -4.40 eV per atom
Fermi-level density of states: 8.86 states/eV per cell
magnetization: 0.00 μB/cell
crystal system: tetragonal

Lattice parameters (Å, degrees): 7.1823 7.1823 3.7692 90.00 90.00 90.00
With the nearest neighbours (Å) after each atom.
Fractional coordinates of all 10 atoms:
In: 0.1459 0.3541 0.0000  6 Si 2.71-2.91, 2 Ru 2.75, 1 In 2.96
In: 0.3541 0.8541 0.0000  6 Si 2.71-2.91, 2 Ru 2.75, 1 In 2.96
In: 0.6459 0.1459 0.0000  6 Si 2.71-2.91, 2 Ru 2.75, 1 In 2.96
In: 0.8541 0.6459 0.0000  6 Si 2.71-2.91, 2 Ru 2.75, 1 In 2.96
Si: 0.1619 0.6619 0.5000  6 In 2.71-2.91
Si: 0.3381 0.1619 0.5000  6 In 2.71-2.91
Si: 0.6619 0.8381 0.5000  6 In 2.71-2.91
Si: 0.8381 0.3381 0.5000  6 In 2.71-2.91
Ru: 0.0000 0.0000 0.0000  4 In 2.75
Ru: 0.5000 0.5000 0.0000  4 In 2.75



(2)
The following is a DFT calculation (PBE) of an optimized crystal structure of BeBSeBr2.

Summary:
total DFT energy (no corrections): -2.63 eV per atom
Fermi-level density of states: 0.86 states/eV per cell
energy above the most stable polymorph in this dataset: 0 meV/atom
magnetization: 0.00 μB/cell
crystal system: tetragonal

Lattice parameters (Å, degrees): 4.8336 4.8336 4.5935 90.00 90.00 90.00
With the nearest neighbours (Å) after each atom.
Fractional coordinates of all 5 atoms:
Be: 0.0000 0.0000 0.0000  2 Se 2.30, 4 Br 2.42
B: 0.5000 0.5000 0.5000  8 Br 3.33, 4 Se 3.42
Se: 0.0000 0.0000 0.5000  2 Be 2.30
Br: 0.0000 0.5000 0.0000  2 Be 2.42
Br: 0.5000 0.0000 0.0000  2 Be 2.42



(3)
The following is a DFT calculation (PBE) of an optimized crystal structure of NdTl2Cu2Te4.

Summary:
total DFT energy (no corrections): -3.90 eV per atom
Fermi-level density of states: 3.82 states/eV per cell
magnetization: 0.00 μB/cell
crystal system: monoclinic

Lattice parameters (Å, degrees): 8.2355 8.2355 8.6077 108.04 108.04 29.91
With the nearest neighbours (Å) after each atom.
Fractional coordinates of all 9 atoms:
Nd: 0.0000 0.0000 0.0000  6 Te 3.14-3.18
Tl: 0.1309 0.1309 0.5494  7 Te 3.47-3.69
Tl: 0.8691 0.8691 0.4506  7 Te 3.47-3.69
Cu: 0.3163 0.3163 0.0068  4 Te 2.66-2.67, 2 Cu 2.97
Cu: 0.6837 0.6837 0.9932  4 Te 2.66-2.67, 2 Cu 2.97
Te: 0.2076 0.2076 0.1877  3 Cu 2.66-2.67
Te: 0.4712 0.4712 0.2475  1 Cu 2.66
Te: 0.5288 0.5288 0.7525  1 Cu 2.66
Te: 0.7924 0.7924 0.8123  3 Cu 2.66-2.67



(4)
The following is a DFT calculation (PBE) of an optimized crystal structure of Y2Cd.

Summary:
total DFT energy (no corrections): -4.33 eV per atom
Fermi-level density of states: 5.89 states/eV per cell
magnetization: 0.00 μB/cell
crystal system: cubic

Lattice parameters (Å, degrees): 6.3403 6.3403 6.3403 60.00 60.00 60.00
With the nearest neighbours (Å) after each atom.
Fractional coordinates of all 6 atoms:
Y: 0.0000 0.0000 0.0000  6 Y 3.17
Y: 0.0000 0.0000 0.5000  6 Y 3.17
Y: 0.0000 0.5000 0.0000  6 Y 3.17
Y: 0.5000 0.0000 0.0000  6 Y 3.17
Cd: 0.3750 0.3750 0.3750  12 Y 3.72, 4 Cd 3.88
Cd: 0.6250 0.6250 0.6250  12 Y 3.72, 4 Cd 3.88



(5)
The following is a DFT calculation (PBE) of an optimized crystal structure of Ba2Mg12AgHg3.

Summary:
total DFT energy (no corrections): -1.48 eV per atom
Fermi-level density of states: 10.19 states/eV per cell
magnetization: 0.00 μB/cell
crystal system: trigonal

Lattice parameters (Å, degrees): 11.0572 11.0572 11.0572 40.95 40.95 40.95
With the nearest neighbours (Å) after each atom.
Fractional coordinates of all 18 atoms:
Ba: 0.1512 0.1512 0.1512  6 Mg 3.66-3.70
Ba: 0.8488 0.8488 0.8488  6 Mg 3.66-3.70
Mg: 0.0859 0.0859 0.6918  2 Hg 2.86, 4 Mg 3.05-3.10
Mg: 0.0859 0.6918 0.0859  2 Hg 2.86, 4 Mg 3.05-3.10
Mg: 0.1584 0.5660 0.5660  1 Ag 2.79, 1 Hg 2.97, 2 Mg 3.10
Mg: 0.3082 0.9141 0.9141  2 Hg 2.86, 4 Mg 3.05-3.10
Mg: 0.4340 0.4340 0.8416  1 Ag 2.79, 1 Hg 2.97, 2 Mg 3.10
Mg: 0.4340 0.8416 0.4340  1 Ag 2.79, 1 Hg 2.97, 2 Mg 3.10
Mg: 0.5660 0.1584 0.5660  1 Ag 2.79, 1 Hg 2.97, 2 Mg 3.10
Mg: 0.5660 0.5660 0.1584  1 Ag 2.79, 1 Hg 2.97, 2 Mg 3.10
Mg: 0.6918 0.0859 0.0859  2 Hg 2.86, 4 Mg 3.05-3.10
Mg: 0.8416 0.4340 0.4340  1 Ag 2.79, 1 Hg 2.97, 2 Mg 3.10
Mg: 0.9141 0.3082 0.9141  2 Hg 2.86, 4 Mg 3.05-3.10
Mg: 0.9141 0.9141 0.3082  2 Hg 2.86, 4 Mg 3.05-3.10
Ag: 0.5000 0.5000 0.5000  6 Mg 2.79
Hg: 0.0000 0.5000 0.5000  6 Mg 2.86-2.97
Hg: 0.5000 0.0000 0.5000  6 Mg 2.86-2.97
Hg: 0.5000 0.5000 0.0000  6 Mg 2.86-2.97



(6)
The following is a DFT calculation (PBE) of an optimized crystal structure of TcRuCl3.

Summary:
total DFT energy (no corrections): -4.35 eV per atom
Fermi-level density of states: 3.77 states/eV per cell
energy above the most stable polymorph in this dataset: 0 meV/atom
magnetization: 5.18 μB/cell
crystal system: cubic

Lattice parameters (Å, degrees): 4.7861 4.7861 4.7861 90.00 90.00 90.00
With the nearest neighbours (Å) after each atom.
Fractional coordinates of all 5 atoms:
Tc: 0.0000 0.0000 0.0000  12 Cl 3.38
Ru: 0.5000 0.5000 0.5000  6 Cl 2.39
Cl: 0.0000 0.5000 0.5000  2 Ru 2.39
Cl: 0.5000 0.0000 0.5000  2 Ru 2.39
Cl: 0.5000 0.5000 0.0000  2 Ru 2.39



(7)
The following is a DFT calculation (PBE) of an optimized crystal structure of SrSn2Sb.

Summary:
total DFT energy (no corrections): -3.75 eV per atom
Fermi-level density of states: 4.94 states/eV per cell
magnetization: 0.00 μB/cell
crystal system: tetragonal

Lattice parameters (Å, degrees): 7.1445 7.1445 7.1445 102.10 102.10 125.52
With the nearest neighbours (Å) after each atom.
Fractional coordinates of all 8 atoms:
Sr: 0.0000 0.0000 0.0000  2 Sb 3.27, 4 Sn 3.52
Sr: 0.7500 0.2500 0.5000  2 Sb 3.27, 4 Sn 3.52
Sn: 0.1627 0.6250 0.0377  2 Sb 3.06, 2 Sn 3.34
Sn: 0.3750 0.4127 0.5377  2 Sb 3.06, 2 Sn 3.34
Sn: 0.5873 0.1250 0.9623  2 Sb 3.06, 2 Sn 3.34
Sn: 0.8750 0.8373 0.4623  2 Sb 3.06, 2 Sn 3.34
Sb: 0.2500 0.7500 0.5000  4 Sn 3.06, 2 Sr 3.27
Sb: 0.5000 0.5000 0.0000  4 Sn 3.06, 2 Sr 3.27



(8)
The following is a DFT calculation (PBE) of an optimized crystal structure of Nb3GeIr.

Summary:
total DFT energy (no corrections): -7.75 eV per atom
Fermi-level density of states: 4.62 states/eV per cell
energy above the most stable polymorph in this dataset: 82 meV/atom
magnetization: 0.00 μB/cell
crystal system: cubic

Lattice parameters (Å, degrees): 4.6670 4.6670 4.6670 90.00 90.00 90.00
With the nearest neighbours (Å) after each atom.
Fractional coordinates of all 5 atoms:
Nb: 0.0000 0.0000 0.5000  2 Ge 2.33
Nb: 0.0000 0.5000 0.0000  2 Ge 2.33
Nb: 0.5000 0.0000 0.0000  2 Ge 2.33
Ge: 0.0000 0.0000 0.0000  6 Nb 2.33
Ir: 0.5000 0.5000 0.5000  12 Nb 3.30



(9)
The following is a DFT calculation (PBE) of an optimized crystal structure of Nb2C2F.

Summary:
total DFT energy (no corrections): -8.31 eV per atom
Fermi-level density of states: 3.46 states/eV per cell
energy above the most stable polymorph in this dataset: 112 meV/atom
magnetization: 0.00 μB/cell
crystal system: tetragonal

Lattice parameters (Å, degrees): 6.0740 6.0740 2.9134 90.00 90.00 90.00
With the nearest neighbours (Å) after each atom.
Fractional coordinates of all 10 atoms:
Nb: 0.2045 0.2955 0.0000  6 C 2.32-2.40
Nb: 0.2955 0.7955 0.0000  6 C 2.32-2.40
Nb: 0.7045 0.2045 0.0000  6 C 2.32-2.40
Nb: 0.7955 0.7045 0.0000  6 C 2.32-2.40
C: 0.0851 0.5851 0.5000  1 C 1.46
C: 0.4149 0.0851 0.5000  1 C 1.46
C: 0.5851 0.9149 0.5000  1 C 1.46
C: 0.9149 0.4149 0.5000  1 C 1.46
F: 0.0000 0.0000 0.5000  4 C 2.57, 8 Nb 2.62
F: 0.5000 0.5000 0.5000  4 C 2.57, 8 Nb 2.62



(10)
The following is a DFT calculation (PBE) of an optimized crystal structure of Ba4ZrIr.

Summary:
total DFT energy (no corrections): -2.97 eV per atom
Fermi-level density of states: 10.57 states/eV per cell
magnetization: 4.15 μB/cell
crystal system: cubic

Lattice parameters (Å, degrees): 6.8544 6.8544 6.8544 60.00 60.00 60.00
With the nearest neighbours (Å) after each atom.
Fractional coordinates of all 6 atoms:
Ba: 0.1240 0.1240 0.1240  6 Ba 3.40-3.46
Ba: 0.1240 0.1240 0.6281  6 Ba 3.40-3.46
Ba: 0.1240 0.6281 0.1240  6 Ba 3.40-3.46
Ba: 0.6281 0.1240 0.1240  6 Ba 3.40-3.46
Zr: 0.5000 0.5000 0.5000  12 Ba 4.02, 4 Ir 4.20
Ir: 0.7500 0.7500 0.7500  12 Ba 4.02, 4 Zr 4.20



Please write out number 2 again, unchanged.
The following is a DFT calculation (PBE) of an optimized crystal structure of BeBSeBr2.

Summary:
total DFT energy (no corrections): -2.63 eV per atom
Fermi-level density of states: 0.86 states/eV per cell
energy above the most stable polymorph in this dataset: 0 meV/atom
magnetization: 0.00 μB/cell
crystal system: tetragonal

Lattice parameters (Å, degrees): 4.8336 4.8336 4.5935 90.00 90.00 90.00
With the nearest neighbours (Å) after each atom.
Fractional coordinates of all 5 atoms:
Be: 0.0000 0.0000 0.0000  2 Se 2.30, 4 Br 2.42
B: 0.5000 0.5000 0.5000  8 Br 3.33, 4 Se 3.42
Se: 0.0000 0.0000 0.5000  2 Be 2.30
Br: 0.0000 0.5000 0.0000  2 Be 2.42
Br: 0.5000 0.0000 0.0000  2 Be 2.42



Question: Number 4 is which compound?
Answer: Y2Cd